No. 1
The following is a DFT calculation (PBE-GGA) of a relaxed structure of LiUAgS3.

a = 7.099 Å, b = 3.705 Å, c = 9.526 Å
α = 90.00°, β = 107.97°, γ = 90.00°
Space group P2_1/m (No. 11)
One atom of each set of equivalent atoms:
Li: 0.198 0.250 0.110 [2 per cell]
U: 0.234 0.750 0.719 [2 per cell]
Ag: 0.362 0.750 0.394 [2 per cell]
S: 0.050 0.250 0.838 [2 per cell]
S: 0.179 0.250 0.494 [2 per cell]
S: 0.468 0.750 0.167 [2 per cell]

Values from the calculation:
Raw total energy in eV per cell: -69.0
Uncorrected formation energy in eV per formula unit: -6.075



No. 2
The following is a DFT calculation (PBE-GGA) of a relaxed structure of LiUAgS4.

a = 8.201 Å, b = 8.228 Å, c = 9.063 Å
α = 90.00°, β = 90.00°, γ = 90.00°
Space group Imma (No. 74)
One atom of each set of equivalent atoms:
Li: 0.000 0.250 0.118 [4 per cell]
U: 0.250 0.250 0.750 [4 per cell]
Ag: 0.000 0.000 0.500 [4 per cell]
S: 0.000 0.047 0.784 [8 per cell]
S: 0.222 0.250 0.477 [8 per cell]

Values from the calculation:
Raw total energy in eV per cell: -155.5
Uncorrected formation energy in eV per formula unit: -6.317



No. 3
The following is a DFT calculation (PBE-GGA) of a relaxed structure of LiUAg2S4.

a = 6.305 Å, b = 4.021 Å, c = 6.592 Å
α = 90.00°, β = 107.76°, γ = 90.00°
Space group P2/m (No. 10)
One atom of each set of equivalent atoms:
Li: 0.000 0.000 0.000 [1 per cell]
U: 0.000 0.500 0.500 [1 per cell]
Ag: 0.500 0.000 0.500 [1 per cell]
Ag: 0.500 0.500 0.000 [1 per cell]
S: 0.230 0.000 0.739 [2 per cell]
S: 0.235 0.500 0.245 [2 per cell]

Values from the calculation:
Raw total energy in eV per cell: -41.8
Uncorrected formation energy in eV per formula unit: -6.407



No. 4
The following is a DFT calculation (PBE-GGA) of a relaxed structure of LiU2AgS6.

a = 6.5601 Å, b = 6.5601 Å, c = 18.5000 Å
α = 90.00°, β = 90.00°, γ = 120.00°
Space group R3 (No. 146, hexagonal axes)
One atom of each set of equivalent atoms:
Li: 0.0000 0.0000 0.0000 [3 per cell]
U: 0.0000 0.0000 0.3177 [3 per cell]
U: 0.0000 0.0000 0.8147 [3 per cell]
Ag: 0.0000 0.0000 0.5032 [3 per cell]
S: 0.0040 0.6559 0.0668 [9 per cell]
S: 0.0113 0.3653 0.5701 [9 per cell]

Values from the calculation:
Raw total energy in eV per cell: -187.5
Uncorrected formation energy in eV per formula unit: -10.406



No. 5
The following is a DFT calculation (PBE-GGA) of a relaxed structure of Li3U3AgS8.

a = 7.6979 Å, b = 7.6979 Å, c = 18.6308 Å
α = 90.00°, β = 90.00°, γ = 120.00°
Space group R-3m (No. 166, hexagonal axes)
One atom of each set of equivalent atoms:
Li: 0.0000 0.5000 0.0000 [9 per cell]
U: 0.0000 0.5000 0.5000 [9 per cell]
Ag: 0.0000 0.0000 0.5000 [3 per cell]
S: 0.0000 0.0000 0.2531 [6 per cell]
S: 0.0118 0.5059 0.7509 [18 per cell]

Values from the calculation:
Raw total energy in eV per cell: -280.4
Uncorrected formation energy in eV per formula unit: -17.977



No. 6
The following is a DFT calculation (PBE-GGA) of a relaxed structure of LiVAg2S4.

a = 7.998 Å, b = 8.017 Å, c = 11.048 Å
α = 90.00°, β = 90.00°, γ = 90.00°
Space group Fmm2 (No. 42)
One atom of each set of equivalent atoms:
Li: 0.000 0.000 0.000 [4 per cell]
V: 0.000 0.000 0.501 [4 per cell]
Ag: 0.250 0.250 0.251 [8 per cell]
S: 0.000 0.225 0.391 [8 per cell]
S: 0.226 0.000 0.611 [8 per cell]

Values from the calculation:
Raw total energy in eV per cell: -152.5
Uncorrected formation energy in eV per formula unit: -4.884